Record 1
Material: BeP2Rh
Method: DFT, GGA-PBEsol
State: relaxed

It has space group F-43m (No. 216), with a = 5.792 Å, b = 5.792 Å, c = 5.792 Å, α = 90.00°, β = 90.00° and γ = 90.00°. The asymmetric unit holds Be at (0.000, 0.000, 0.000), P at (0.000, 0.000, 0.500), P at (0.250, 0.250, 0.250) and Rh at (0.250, 0.250, 0.750).

The calculation puts the mass density at 5.9 Mg/m³. The value obtained for the volume is 194.3 Å³ per cell. For the formation energy, the calculation gives 0.224 eV/atom. The crystal system is cubic. As for the density of states at the Fermi level: 11.337 states/eV/cell.

Record 2
Material: Ca2HO
Method: DFT, GGA-PBEsol
State: relaxed

It has space group I-42d (No. 122), with a = 5.478 Å, b = 5.478 Å, c = 10.136 Å, α = 90.00°, β = 90.00° and γ = 90.00°. The asymmetric unit holds Ca at (0.222, 0.250, 0.125), H at (0.000, 0.000, 0.500) and O at (0.000, 0.000, 0.000).

The calculation puts the mass density at 2.1 Mg/m³. The value obtained for the volume is 304.2 Å³ per cell. Its electronic total energy is -18.70 eV/f.u. The crystal system is tetragonal. As for the density of states at the Fermi level: 7.203 states/eV/cell.

Record 3
Material: RbLi3Zn
Method: DFT, GGA-PBEsol
State: relaxed

It has space group Pm-3m (No. 221), with a = 5.273 Å, b = 5.273 Å, c = 5.273 Å, α = 90.00°, β = 90.00° and γ = 90.00°. The asymmetric unit holds Rb at (0.000, 0.000, 0.000), Li at (0.000, 0.500, 0.500) and Zn at (0.500, 0.500, 0.500).

As for the relative energy among the computed polymorphs: 0.0 kJ per mole of atoms. The calculation puts the mass density at 1.9 Mg/m³. The value obtained for the volume is 146.7 Å³ per cell. For the formation energy, the calculation gives 0.151 eV/atom. The crystal system is cubic. As for the density of states at the Fermi level: 3.173 states/eV/cell.

Record 4
Material: SrLiAu
Method: DFT, GGA-PBEsol
State: relaxed

It has space group P-6m2 (No. 187), with a = 4.4748 Å, b = 4.4748 Å, c = 4.3211 Å, α = 90.00°, β = 90.00° and γ = 120.00°. The asymmetric unit holds Sr at (0.0000, 0.0000, 0.0000), Li at (0.3333, 0.6667, 0.5000) and Au at (0.6667, 0.3333, 0.5000).

The calculation puts the mass density at 6.5 Mg/m³. The value obtained for the volume is 74.9 Å³ per cell. For the formation energy, the calculation gives -0.490 eV/atom. The crystal system is hexagonal. As for the density of states at the Fermi level: 1.164 states/eV/cell.

Record 5
Material: YAgTe2
Method: DFT, GGA-PBEsol
State: relaxed

It has space group R-3m (No. 166, hexagonal axes), with a = 4.3287 Å, b = 4.3287 Å, c = 20.4813 Å, α = 90.00°, β = 90.00° and γ = 120.00°. The asymmetric unit holds Y at (0.0000, 0.0000, 0.0000), Ag at (0.0000, 0.0000, 0.5000) and Te at (0.0000, 0.0000, 0.2467).

The calculation puts the mass density at 6.8 Mg/m³. The value obtained for the volume is 332.4 Å³ per cell. Its electronic total energy is -20.47 eV/f.u. The crystal system is trigonal.

Record 6
Material: Hg3W
Method: DFT, GGA-PBEsol
State: relaxed

It has space group Immm (No. 71), with a = 2.841 Å, b = 4.905 Å, c = 12.344 Å, α = 90.00°, β = 90.00° and γ = 90.00°. The asymmetric unit holds Hg at (0.000, 0.000, 0.000), Hg at (0.000, 0.500, 0.199) and W at (0.000, 0.000, 0.500).

As for the relative energy among the computed polymorphs: 9.6 kJ per mole of atoms. The calculation puts the mass density at 15.2 Mg/m³. The value obtained for the volume is 172.0 Å³ per cell. For the formation energy, the calculation gives 0.668 eV/atom. The crystal system is orthorhombic. As for the density of states at the Fermi level: 7.259 states/eV/cell.

Record 7
Material: FeWS3
Method: DFT, GGA-PBEsol
State: relaxed

It has space group Pm-3m (No. 221), with a = 4.267 Å, b = 4.267 Å, c = 4.267 Å, α = 90.00°, β = 90.00° and γ = 90.00°. The asymmetric unit holds Fe at (0.000, 0.000, 0.000), W at (0.500, 0.500, 0.500) and S at (0.000, 0.000, 0.500).

The calculation puts the mass density at 7.2 Mg/m³. The value obtained for the volume is 77.7 Å³ per cell. Its electronic total energy is -31.89 eV/f.u. The crystal system is cubic. As for the density of states at the Fermi level: 3.024 states/eV/cell.

Record 8
Material: CaNiW2
Method: DFT, GGA-PBEsol
State: relaxed

It has space group Imm2 (No. 44), with a = 3.109 Å, b = 4.964 Å, c = 8.803 Å, α = 90.00°, β = 90.00° and γ = 90.00°. The asymmetric unit holds Ca at (0.000, 0.000, 0.000), Ni at (0.000, 0.500, 0.763), W at (0.000, 0.000, 0.485) and W at (0.000, 0.500, 0.210).

As for the relative energy among the computed polymorphs: 30.9 kJ per mole of atoms. The calculation puts the mass density at 11.4 Mg/m³. The value obtained for the volume is 135.8 Å³ per cell. For the formation energy, the calculation gives 0.788 eV/atom. The crystal system is orthorhombic. As for the density of states at the Fermi level: 4.052 states/eV/cell.

Record 9
Material: Y2ZnRu
Method: DFT, GGA-PBEsol
State: relaxed

It has space group P4/mmm (No. 123), with a = 3.425 Å, b = 3.425 Å, c = 6.936 Å, α = 90.00°, β = 90.00° and γ = 90.00°. The asymmetric unit holds Y at (0.000, 0.000, 0.234), Zn at (0.500, 0.500, 0.500) and Ru at (0.500, 0.500, 0.000).

The calculation puts the mass density at 7.0 Mg/m³. The value obtained for the volume is 81.4 Å³ per cell. For the formation energy, the calculation gives -0.357 eV/atom. The crystal system is tetragonal. As for the density of states at the Fermi level: 2.592 states/eV/cell.

Record 10
Material: LaSiSb2
Method: DFT, GGA-PBEsol
State: relaxed

It has space group R-3m (No. 166, hexagonal axes), with a = 3.9973 Å, b = 3.9973 Å, c = 23.4819 Å, α = 90.00°, β = 90.00° and γ = 120.00°. The asymmetric unit holds La at (0.0000, 0.0000, 0.0000), Si at (0.0000, 0.0000, 0.5000) and Sb at (0.0000, 0.0000, 0.2359).

The calculation puts the mass density at 6.3 Mg/m³. The value obtained for the volume is 324.9 Å³ per cell. Its electronic total energy is -21.12 eV/f.u. The crystal system is trigonal. As for the density of states at the Fermi level: 10.368 states/eV/cell.

Record 11
Material: CaFe2Re
Method: DFT, GGA-PBEsol
State: relaxed

It has space group Immm (No. 71), with a = 3.008 Å, b = 4.788 Å, c = 8.524 Å, α = 90.00°, β = 90.00° and γ = 90.00°. The asymmetric unit holds Ca at (0.000, 0.000, 0.000), Fe at (0.000, 0.500, 0.221) and Re at (0.000, 0.000, 0.500).

The calculation puts the mass density at 9.1 Mg/m³. The value obtained for the volume is 122.8 Å³ per cell. For the formation energy, the calculation gives 0.801 eV/atom. The crystal system is orthorhombic. As for the density of states at the Fermi level: 8.371 states/eV/cell.

Record 12
Material: LaBe3S
Method: DFT, GGA-PBEsol
State: relaxed

It has space group Pm-3m (No. 221), with a = 4.311 Å, b = 4.311 Å, c = 4.311 Å, α = 90.00°, β = 90.00° and γ = 90.00°. The asymmetric unit holds La at (0.000, 0.000, 0.000), Be at (0.000, 0.500, 0.500) and S at (0.500, 0.500, 0.500).

The calculation puts the mass density at 4.1 Mg/m³. The value obtained for the volume is 80.1 Å³ per cell. Its electronic total energy is -19.29 eV/f.u. The crystal system is cubic. As for the density of states at the Fermi level: 3.265 states/eV/cell.